{"formula": "TlCd2As", "functional": "PBE", "state": "relaxed", "lattice_angstrom": [[1.643, 0.948, 10.242], [-1.643, 0.948, 10.242], [0.000, -1.897, 10.242]], "species": ["Tl", "Cd", "Cd", "As"], "frac_coords": [[0.000, 0.000, 0.000], [0.245, 0.245, 0.245], [0.755, 0.755, 0.755], [0.500, 0.500, 0.500]], "formation_enthalpy_0k_ev_per_atom": 0.17, "m_tot_mub_per_atom": 0.000, "mass_density_g_cm3": 8.7, "e_tot_ev_per_atom": -2.04}